## 1
A relaxed LiZnBr2 crystal. Source: the Alexandria database, functional PBE.

extended XYZ file:
```
4
Lattice="3.940 0.000 0.000 0.000 3.940 0.000 0.000 0.000 6.179" Properties=species:S:1:pos:R:3 pbc="T T T"
Li 0.000 0.000 0.000
Zn 1.970 1.970 2.866
Br 0.000 0.000 2.735
Br 1.970 1.970 5.852
```

Values from the calculation:
Total magnetization = 0.000 Bohr magnetons per cell



## 2
A relaxed LiZnBr2 crystal. Source: the Alexandria database, functional PBE.

extended XYZ file:
```
4
Lattice="5.018 0.000 0.000 0.000 5.018 0.000 0.000 0.000 3.562" Properties=species:S:1:pos:R:3 pbc="T T T"
Li 0.000 0.000 0.000
Zn 2.509 2.509 0.000
Br 0.000 2.509 1.781
Br 2.509 0.000 1.781
```

Values from the calculation:
Total magnetization = 0.000 Bohr magnetons per cell



## 3
A relaxed LiZnBr2 crystal. Source: the Alexandria database, functional PBE.

extended XYZ file:
```
16
Lattice="7.387 0.000 0.000 0.000 7.387 0.000 0.000 0.000 7.387" Properties=species:S:1:pos:R:3 pbc="T T T"
Li 0.000 0.000 0.000
Li 0.000 3.694 3.694
Li 3.694 0.000 3.694
Li 3.694 3.694 0.000
Zn 1.847 1.847 5.541
Zn 1.847 5.541 1.847
Zn 5.541 1.847 1.847
Zn 5.541 5.541 5.541
Br 0.000 0.000 3.694
Br 0.000 3.694 0.000
Br 1.847 1.847 1.847
Br 1.847 5.541 5.541
Br 3.694 0.000 0.000
Br 3.694 3.694 3.694
Br 5.541 1.847 5.541
Br 5.541 5.541 1.847
```

Values from the calculation:
Total magnetization = 2.008 Bohr magnetons per cell



Short version: 3 is the least stable of them.



## 1
A relaxed LiZnBr2 crystal. Source: the Alexandria database, functional PBE.

extended XYZ file:
```
8
Lattice="14.323 0.000 0.000 0.000 3.918 0.000 -0.045 0.000 3.926" Properties=species:S:1:pos:R:3 pbc="T T T"
Li 0.000 0.000 0.000
Li 7.161 1.959 0.000
Zn 4.613 0.000 1.935
Zn 11.774 1.959 1.935
Br 0.341 1.959 1.977
Br 4.420 1.959 3.898
Br 7.503 0.000 1.977
Br 11.581 0.000 3.898
```

Values from the calculation:
Total magnetization = 0.000 Bohr magnetons per cell



## 2
A relaxed LiZnBr2 crystal. Source: the Alexandria database, functional PBE.

extended XYZ file:
```
8
Lattice="7.740 0.000 0.000 0.000 7.638 0.000 -2.005 0.000 4.068" Properties=species:S:1:pos:R:3 pbc="T T T"
Li 0.000 0.000 0.000
Li 3.870 3.819 0.000
Zn 0.000 3.819 0.000
Zn 3.870 0.000 0.000
Br 1.935 1.910 0.000
Br 1.935 5.729 0.000
Br 5.805 1.910 0.000
Br 5.805 5.729 0.000
```

Values from the calculation:
Total magnetization = 0.000 Bohr magnetons per cell



## 3
A relaxed LiZnBr2 crystal. Source: the Alexandria database, functional PBE.

extended XYZ file:
```
8
Lattice="3.821 0.000 0.000 0.000 7.561 0.000 0.000 0.000 7.700" Properties=species:S:1:pos:R:3 pbc="T T T"
Li 0.000 0.000 0.000
Li 1.910 3.781 0.000
Zn 0.000 0.000 3.850
Zn 1.910 3.781 3.850
Br 0.000 3.781 1.782
Br 0.000 3.781 5.918
Br 1.910 0.000 1.782
Br 1.910 0.000 5.918
```

Values from the calculation:
Total magnetization = 0.000 Bohr magnetons per cell



Short version: 3 is the least stable of them.



## 1
A relaxed LiZnBr2 crystal. Source: the Alexandria database, functional PBE.

extended XYZ file:
```
8
Lattice="3.833 0.000 0.000 0.000 3.833 0.000 0.000 0.000 16.706" Properties=species:S:1:pos:R:3 pbc="T T T"
Li 0.000 0.000 0.000
Li 1.917 1.917 8.353
Zn 0.000 1.917 12.529
Zn 1.917 0.000 4.176
Br 0.000 0.000 8.353
Br 0.000 1.917 4.176
Br 1.917 0.000 12.529
Br 1.917 1.917 0.000
```

Values from the calculation:
Total magnetization = 0.000 Bohr magnetons per cell



## 2
A relaxed LiZnBr2 crystal. Source: the Alexandria database, functional PBE.

extended XYZ file:
```
8
Lattice="5.849 0.000 0.000 0.000 5.403 0.000 0.000 0.000 6.214" Properties=species:S:1:pos:R:3 pbc="T T T"
Li 0.000 0.000 0.000
Li 0.000 2.701 3.107
Zn 2.924 0.000 2.734
Zn 2.924 2.701 5.841
Br 0.000 0.000 2.618
Br 0.000 2.701 5.725
Br 2.924 0.000 5.848
Br 2.924 2.701 2.741
```

Values from the calculation:
Total magnetization = 0.000 Bohr magnetons per cell



Short version: 1 is the least stable of them.



## 1
A relaxed LiZnBr2 crystal. Source: the Alexandria database, functional PBE.

extended XYZ file:
```
4
Lattice="3.803 0.000 0.000 0.000 3.852 0.000 0.000 0.000 8.151" Properties=species:S:1:pos:R:3 pbc="T T T"
Li 0.000 0.000 0.000
Zn 0.000 1.926 4.076
Br 1.901 0.000 4.076
Br 1.901 1.926 0.000
```

Values from the calculation:
Total magnetization = 0.000 Bohr magnetons per cell



## 2
A relaxed LiZnBr2 crystal. Source: the Alexandria database, functional PBE.

extended XYZ file:
```
4
Lattice="4.245 0.000 0.000 0.000 3.764 0.000 -0.756 0.000 6.989" Properties=species:S:1:pos:R:3 pbc="T T T"
Li 0.000 0.000 0.000
Zn 1.744 0.000 3.495
Br 0.762 1.882 1.649
Br 2.727 1.882 5.341
```

Values from the calculation:
Total magnetization = 0.000 Bohr magnetons per cell



Short version: 2 is the least stable of them.



## 1
A relaxed LiZnBr2 crystal. Source: the Alexandria database, functional PBE.

extended XYZ file:
```
16
Lattice="6.093 0.000 0.000 0.000 6.093 0.000 0.000 0.000 12.913" Properties=species:S:1:pos:R:3 pbc="T T T"
Li 0.000 0.000 0.000
Li 0.000 3.046 3.228
Li 3.046 0.000 9.685
Li 3.046 3.046 6.456
Zn 0.000 0.000 6.456
Zn 0.000 3.046 9.685
Zn 3.046 0.000 3.228
Zn 3.046 3.046 0.000
Br 1.385 1.523 1.614
Br 1.523 4.431 4.842
Br 1.523 4.708 11.299
Br 1.661 1.523 8.071
Br 4.431 4.570 8.071
Br 4.570 1.385 11.299
Br 4.570 1.661 4.842
Br 4.708 4.570 1.614
```

Values from the calculation:
Total magnetization = 0.000 Bohr magnetons per cell



## 2
A relaxed LiZnBr2 crystal. Source: the Alexandria database, functional PBE.

extended XYZ file:
```
12
Lattice="3.937 0.000 0.000 -1.969 3.410 0.000 0.000 0.000 24.251" Properties=species:S:1:pos:R:3 pbc="T T T"
Li 0.000 0.000 0.000
Li 0.000 2.273 16.167
Li 1.969 1.137 8.084
Zn 0.000 0.000 12.126
Zn 0.000 2.273 4.042
Zn 1.969 1.137 20.209
Br 0.000 0.000 9.581
Br 0.000 0.000 14.670
Br 0.000 2.273 1.497
Br 0.000 2.273 6.586
Br 1.969 1.137 17.665
Br 1.969 1.137 22.754
```

Values from the calculation:
Total magnetization = 0.000 Bohr magnetons per cell



## 3
A relaxed LiZnBr2 crystal. Source: the Alexandria database, functional PBE.

extended XYZ file:
```
16
Lattice="7.161 0.000 0.000 0.000 7.161 0.000 0.000 0.000 7.161" Properties=species:S:1:pos:R:3 pbc="T T T"
Li 0.000 0.000 0.000
Li 0.000 3.580 3.580
Li 3.580 0.000 3.580
Li 3.580 3.580 0.000
Zn 0.000 0.000 3.580
Zn 0.000 3.580 0.000
Zn 3.580 0.000 0.000
Zn 3.580 3.580 3.580
Br 1.790 1.790 1.790
Br 1.790 1.790 5.371
Br 1.790 5.371 1.790
Br 1.790 5.371 5.371
Br 5.371 1.790 1.790
Br 5.371 1.790 5.371
Br 5.371 5.371 1.790
Br 5.371 5.371 5.371
```

Values from the calculation:
Total magnetization = 0.000 Bohr magnetons per cell



## 4
A relaxed LiZnBr2 crystal. Source: the Alexandria database, functional PBE.

extended XYZ file:
```
8
Lattice="3.823 0.000 0.000 0.000 7.544 0.000 0.000 0.000 7.704" Properties=species:S:1:pos:R:3 pbc="T T T"
Li 0.000 0.000 0.000
Li 1.912 3.772 3.852
Zn 0.000 0.000 3.852
Zn 1.912 3.772 0.000
Br 0.000 3.772 2.058
Br 0.000 3.772 5.646
Br 1.912 0.000 1.794
Br 1.912 0.000 5.910
```

Values from the calculation:
Total magnetization = 0.000 Bohr magnetons per cell



Short version: 3 is the least stable of them.



## 1
A relaxed Li2ZnBr crystal. Source: the Alexandria database, functional PBE.

extended XYZ file:
```
8
Lattice="3.450 0.000 0.000 0.000 6.488 0.000 0.000 0.000 8.576" Properties=species:S:1:pos:R:3 pbc="T T T"
Li 0.000 0.000 1.836
Li 0.000 0.000 6.740
Li 1.725 3.244 2.452
Li 1.725 3.244 6.125
Zn 0.000 3.244 0.000
Zn 1.725 0.000 4.288
Br 0.000 3.244 4.288
Br 1.725 0.000 0.000
```

Values from the calculation:
Total magnetization = 0.000 Bohr magnetons per cell



## 2
A relaxed Li2ZnBr crystal. Source: the Alexandria database, functional PBE.

extended XYZ file:
```
16
Lattice="6.973 0.000 0.000 0.000 6.973 0.000 0.000 0.000 6.973" Properties=species:S:1:pos:R:3 pbc="T T T"
Li 1.743 1.743 1.743
Li 1.743 1.743 5.230
Li 1.743 5.230 1.743
Li 1.743 5.230 5.230
Li 5.230 1.743 1.743
Li 5.230 1.743 5.230
Li 5.230 5.230 1.743
Li 5.230 5.230 5.230
Zn 0.000 0.000 0.000
Zn 0.000 3.486 3.486
Zn 3.486 0.000 3.486
Zn 3.486 3.486 0.000
Br 0.000 0.000 3.486
Br 0.000 3.486 0.000
Br 3.486 0.000 0.000
Br 3.486 3.486 3.486
```

Values from the calculation:
Total magnetization = 0.000 Bohr magnetons per cell



## 3
A relaxed Li2ZnBr crystal. Source: the Alexandria database, functional PBE.

extended XYZ file:
```
4
Lattice="3.460 0.000 0.000 0.000 3.460 0.000 0.000 0.000 6.310" Properties=species:S:1:pos:R:3 pbc="T T T"
Li 0.000 0.000 1.508
Li 0.000 0.000 4.802
Zn 1.730 1.730 0.000
Br 1.730 1.730 3.155
```

Values from the calculation:
Total magnetization = 0.000 Bohr magnetons per cell



Short version: 2 is the least stable of them.